An optimized crystal structure of ErZr4Pa3N8. Source: Alexandria, functional PBE.

Values from the calculation:
Calculated density ... 10.23 g/cm3
Formation energy without anion corrections ... -1.690 eV/atom
Crystal system ... trigonal

Lattice parameters (Å, degrees): 6.7458 6.7458 6.7458 60.01 60.01 60.01
Sites, in units of the cell vectors:
1 Er 0.0000 0.0000 0.0000
2 Zr 0.0000 0.0000 0.5000
3 Zr 0.0000 0.5000 0.0000
4 Zr 0.5000 0.0000 0.0000
5 Zr 0.5000 0.5000 0.5000
6 Pa 0.0000 0.5000 0.5000
7 Pa 0.5000 0.0000 0.5000
8 Pa 0.5000 0.5000 0.0000
9 N 0.2448 0.2448 0.2448
10 N 0.2465 0.7475 0.7475
11 N 0.2525 0.2525 0.7535
12 N 0.2525 0.7535 0.2525
13 N 0.7475 0.2465 0.7475
14 N 0.7475 0.7475 0.2465
15 N 0.7535 0.2525 0.2525
16 N 0.7552 0.7552 0.7552

An optimized crystal structure of PuSn2Ru2. Source: Alexandria, functional PBE.

Values from the calculation:
Calculated density ... 10.97 g/cm3
Formation enthalpy at 0 K ... -0.209 eV per atom
Crystal system ... monoclinic

Lattice parameters (Å, degrees): 4.4883 4.6682 9.8784 90.00 90.09 90.00
Sites, in units of the cell vectors:
1 Pu 0.2502 0.2500 0.1761
2 Pu 0.7498 0.7500 0.8239
3 Sn 0.2502 0.2500 0.5111
4 Sn 0.2498 0.2500 0.8304
5 Sn 0.7502 0.7500 0.1696
6 Sn 0.7498 0.7500 0.4889
7 Ru 0.2503 0.7500 0.6666
8 Ru 0.2497 0.7500 0.9935
9 Ru 0.7503 0.2500 0.0065
10 Ru 0.7497 0.2500 0.3334

An optimized crystal structure of Y2AlRe. Source: Alexandria, functional PBE.

Values from the calculation:
Calculated density ... 6.97 g/cm3
Formation enthalpy at 0 K ... -0.037 eV per atom
Crystal system ... tetragonal

Lattice parameters (Å, degrees): 3.4507 3.4507 7.8181 90.00 90.00 90.00
Sites, in units of the cell vectors:
1 Y 0.0000 0.0000 0.0000
2 Y 0.5000 0.5000 0.3870
3 Al 0.0000 0.0000 0.6264
4 Re 0.5000 0.5000 0.7530

An optimized crystal structure of H3WI. Source: Alexandria, functional PBE.

Values from the calculation:
DFT total energy ... -13.78 eV/f.u.
Calculated density ... 9.20 g/cm3
Crystal system ... cubic

Lattice parameters (Å, degrees): 3.8397 3.8397 3.8397 90.00 90.00 90.00
Sites, in units of the cell vectors:
1 H 0.0000 0.0000 0.5000
2 H 0.0000 0.5000 0.0000
3 H 0.5000 0.0000 0.0000
4 W 0.5000 0.5000 0.5000
5 I 0.0000 0.0000 0.0000

An optimized crystal structure of BeAu3Br. Source: Alexandria, functional PBE.

Values from the calculation:
Calculated density ... 8.05 g/cm3
Formation energy without anion corrections ... 1.336 eV/atom
E above lowest polymorph ... 955 meV/atom
Crystal system ... cubic

Lattice parameters (Å, degrees): 5.1957 5.1957 5.1957 90.00 90.00 90.00
Sites, in units of the cell vectors:
1 Be 0.0000 0.0000 0.0000
2 Au 0.0000 0.5000 0.5000
3 Au 0.5000 0.0000 0.5000
4 Au 0.5000 0.5000 0.0000
5 Br 0.5000 0.5000 0.5000

An optimized crystal structure of In3TcH. Source: Alexandria, functional PBE.

Values from the calculation:
Calculated density ... 8.70 g/cm3
E above lowest polymorph ... 0 meV/atom
Crystal system ... cubic

Lattice parameters (Å, degrees): 4.3909 4.3909 4.3909 90.00 90.00 90.00
Sites, in units of the cell vectors:
1 In 0.0000 0.0000 0.5000
2 In 0.0000 0.5000 0.0000
3 In 0.5000 0.0000 0.0000
4 Tc 0.5000 0.5000 0.5000
5 H 0.0000 0.0000 0.0000